DFT (PBE+U) results for LiPuNiO5 after structural relaxation.

```
data_LiPuNiO5
_cell_length_a 7.7961
_cell_length_b 7.9492
_cell_length_c 7.8941
_cell_angle_alpha 90.00
_cell_angle_beta 115.06
_cell_angle_gamma 90.00
_symmetry_space_group_name_H-M 'C 1 2/c 1'
_symmetry_Int_Tables_number 15
loop_
_symmetry_equiv_pos_as_xyz
'x,y,z'
'-x,-y,-z'
'-x,y,-z+1/2'
'x,-y,z+1/2'
'x+1/2,y+1/2,z'
'-x+1/2,-y+1/2,-z'
'-x+1/2,y+1/2,-z+1/2'
'x+1/2,-y+1/2,z+1/2'
loop_
_atom_site_label
_atom_site_type_symbol
_atom_site_fract_x
_atom_site_fract_y
_atom_site_fract_z
_atom_site_occupancy
Li1 Li 0.0000 0.0913 0.2500 1
Pu1 Pu 0.2500 0.2500 0.0000 1
Ni1 Ni 0.0000 0.4525 0.2500 1
O1 O 0.0000 0.3018 0.7500 1
O2 O 0.1026 0.2731 0.1486 1
O3 O 0.2219 0.0101 0.9923 1
```

Summary:
total energy = -234.8 eV/cell
total magnetic moment = 3.00 μB/f.u.